## P
Material: LiNbRh2
Method: DFT, GGA-PBE
State: relaxed

Results
Calculated volume   14.64 A^3/atom

Geometry as POSCAR:
```
LiNbRh2
1.0
3.1698 0.0000 0.0000
0.0000 3.1698 0.0000
0.0000 0.0000 5.8286
Li Nb Rh
1 1 2
Cartesian
0.0000 0.0000 0.0000
0.0000 0.0000 2.9143
1.5849 1.5849 1.4168
1.5849 1.5849 4.4118
```

## Q
Material: LiNbRh2
Method: DFT, GGA-PBE
State: relaxed

Results
Calculated volume   16.01 A^3/atom

Geometry as POSCAR:
```
LiNbRh2
1.0
6.7097 0.0000 0.0000
0.0000 6.7097 0.0000
0.0000 0.0000 5.6897
Li Nb Rh
4 4 8
Cartesian
0.0000 0.0000 0.0000
0.0000 3.3549 1.4224
3.3549 0.0000 4.2673
3.3549 3.3549 2.8448
0.0000 0.0000 2.8448
0.0000 3.3549 4.2673
3.3549 0.0000 1.4224
3.3549 3.3549 0.0000
1.6609 1.6774 3.5561
1.6774 5.0158 4.9785
1.6774 5.0488 2.1336
1.6939 1.6774 0.7112
5.0158 5.0323 0.7112
5.0323 1.6609 2.1336
5.0323 1.6939 4.9785
5.0488 5.0323 3.5561
```

Stability check: which of them is most stable? P.

## P
Material: LiNbRh3
Method: DFT, GGA-PBE
State: relaxed

Results
Calculated volume   21.43 A^3/atom

Geometry as POSCAR:
```
LiNbRh3
1.0
4.7499 0.0000 0.0000
0.0000 4.7499 0.0000
0.0000 0.0000 4.7499
Li Nb Rh
1 1 3
Cartesian
0.0000 0.0000 0.0000
2.3750 2.3750 2.3750
0.0000 2.3750 2.3750
2.3750 0.0000 2.3750
2.3750 2.3750 0.0000
```

## Q
Material: LiNbRh3
Method: DFT, GGA-PBE
State: relaxed

Results
Calculated volume   14.27 A^3/atom

Geometry as POSCAR:
```
LiNbRh3
1.0
6.1458 0.0000 0.0000
-3.0729 5.3224 0.0000
0.0000 0.0000 4.3611
Li Nb Rh
2 2 6
Cartesian
0.0000 0.0000 0.0000
0.0000 0.0000 2.1806
0.0000 3.5483 1.0903
3.0729 1.7741 3.2709
0.0000 2.0061 3.2709
-1.3355 4.3193 3.2709
1.7374 1.0031 1.0903
1.3355 4.3193 3.2709
4.4084 1.0031 1.0903
3.0729 3.3163 1.0903
```

Stability check: which of them is most stable? Q.

## P
Material: LiNbRu3
Method: DFT, GGA-PBE
State: relaxed

Results
Calculated volume   13.99 A^3/atom

Geometry as POSCAR:
```
LiNbRu3
1.0
4.1204 0.0000 0.0000
0.0000 4.1204 0.0000
0.0000 0.0000 4.1204
Li Nb Ru
1 1 3
Cartesian
0.0000 0.0000 0.0000
2.0602 2.0602 2.0602
0.0000 0.0000 2.0602
0.0000 2.0602 0.0000
2.0602 0.0000 0.0000
```

## Q
Material: LiNbRu3
Method: DFT, GGA-PBE
State: relaxed

Results
Calculated volume   21.58 A^3/atom

Geometry as POSCAR:
```
LiNbRu3
1.0
4.7606 0.0000 0.0000
0.0000 4.7606 0.0000
0.0000 0.0000 4.7606
Li Nb Ru
1 1 3
Cartesian
0.0000 0.0000 0.0000
2.3803 2.3803 2.3803
0.0000 2.3803 2.3803
2.3803 0.0000 2.3803
2.3803 2.3803 0.0000
```

Stability check: which of them is most stable? P.

## P
Material: Li3NbS4
Method: DFT, GGA-PBE
State: relaxed

Results
Calculated volume   17.35 A^3/atom

Geometry as POSCAR:
```
Li3NbS4
1.0
-5.1775 5.1775 5.1775
5.1775 -5.1775 5.1775
5.1775 5.1775 -5.1775
Li Nb S
12 4 16
Cartesian
3.8130 1.3558 -1.3558
3.8130 -1.3558 1.3558
1.3558 3.8130 -1.3558
1.3558 -1.3558 3.8130
6.5421 1.3558 1.3558
-1.3558 3.8130 1.3558
-1.3558 1.3558 3.8130
3.8217 3.8217 1.3646
3.8217 1.3646 3.8217
1.3646 3.8217 3.8217
1.3558 6.5421 1.3558
1.3558 1.3558 6.5421
3.7151 3.7151 -3.7151
3.7151 -3.7151 3.7151
1.4625 1.4625 1.4625
-3.7151 3.7151 3.7151
1.1784 1.1784 -1.1784
1.1784 -1.1784 1.1784
6.5771 1.2467 -1.2467
6.5771 -1.2467 1.2467
-1.1784 1.1784 1.1784
3.7780 1.2467 1.2467
3.9308 3.9308 -1.3995
3.9308 -1.3995 3.9308
1.2467 3.7780 1.2467
1.2467 1.2467 3.7780
1.2467 6.5771 -1.2467
1.2467 -1.2467 6.5771
-1.2467 6.5771 1.2467
-1.2467 1.2467 6.5771
-1.3995 3.9308 3.9308
3.9992 3.9992 3.9992
```

## Q
Material: Li3NbS4
Method: DFT, GGA-PBE
State: relaxed

Results
Calculated volume   22.30 A^3/atom

Geometry as POSCAR:
```
Li3NbS4
1.0
0.0000 14.6678 3.7124
13.1069 0.0000 3.7124
13.1069 14.6678 0.0000
Li Nb S
24 8 32
Cartesian
0.0000 0.0000 0.0000
14.4403 10.1815 1.7381
9.2183 5.4651 1.4805
10.9009 9.9562 2.0586
13.0286 7.3212 3.6638
6.5535 7.3339 1.8562
21.8665 17.2901 3.9148
17.1382 12.6587 4.2644
15.3130 19.3795 2.0586
3.8886 9.2027 1.4805
18.3271 17.5154 3.5943
11.7736 19.1541 1.7381
13.1069 14.6678 3.5745
19.7387 14.6552 5.5200
7.8868 11.8202 3.5943
19.6604 22.0017 5.4307
23.6916 24.0109 6.1206
13.1852 22.0144 3.6638
4.3474 12.0455 3.9148
9.0757 16.6770 4.2644
15.6292 19.9926 6.1206
15.7718 16.5367 7.0491
23.5491 27.4668 7.0491
6.4752 14.6805 5.5200
20.0852 10.9344 3.7306
16.3498 14.4596 1.8989
9.8641 14.8761 1.8989
9.7963 7.5421 3.7551
13.5317 11.0674 5.5868
16.4175 21.7935 3.7551
12.6822 18.2683 5.5868
6.1287 18.4013 3.7306
10.3996 3.3798 2.1206
3.8462 3.9541 0.2644
9.2608 10.7137 0.2644
6.9658 2.5690 1.8170
19.0036 8.9142 3.6802
10.9889 7.3318 1.8232
15.7483 12.2770 2.1700
13.5192 4.7649 3.6732
21.7784 14.6657 3.6794
14.5282 15.8363 1.7476
11.6857 13.4994 1.7476
17.7000 15.0468 3.6732
12.9393 9.9317 3.6967
7.9747 6.1654 3.6038
2.1180 7.3360 1.8232
6.1412 12.0988 1.8170
10.4656 17.0587 2.1700
9.1948 9.7247 4.0262
24.2535 21.6228 5.5294
17.0190 19.6109 4.0262
2.7073 11.2880 2.1206
5.1322 8.5024 3.6038
19.8280 17.2656 5.5529
13.2746 19.4039 3.6967
8.5139 14.2889 3.6732
12.4502 13.0876 5.5364
13.7637 16.2481 5.5364
4.4355 14.6699 3.6794
12.6946 24.5708 3.6732
19.4928 26.7378 5.5529
7.2103 20.4215 3.6802
15.0673 22.3807 5.5294
```

## R
Material: Li3NbS4
Method: DFT, GGA-PBE
State: relaxed

Results
Calculated volume   21.32 A^3/atom

Geometry as POSCAR:
```
Li3NbS4
1.0
7.2829 0.0000 0.0000
0.0000 9.6578 0.0000
0.0000 0.0000 9.7018
Li Nb S
12 4 16
Cartesian
0.1445 2.4145 1.0846
1.7934 0.6122 7.4578
1.7934 4.2167 7.4578
1.8481 5.4411 2.6069
1.8481 9.0456 2.6069
3.4969 7.2434 5.9355
3.7860 2.4145 3.7663
5.4349 0.6122 7.0949
5.4349 4.2167 7.0949
5.4895 5.4411 2.2440
5.4895 9.0456 2.2440
7.1384 7.2434 8.6172
0.5436 7.2434 4.9095
3.0978 2.4145 0.0586
4.1851 7.2434 9.6431
6.7393 2.4145 4.7923
0.0352 7.2434 2.6444
1.2616 2.4145 3.3858
1.7245 0.6001 0.3610
1.7245 4.2288 0.3610
1.9170 5.4290 5.2119
1.9170 9.0577 5.2119
2.3799 7.2434 8.2367
3.6062 2.4145 7.4953
3.6767 7.2434 2.2065
4.9030 2.4145 1.4651
5.3660 0.6001 4.4898
5.3660 4.2288 4.4898
5.5584 5.4290 9.3407
5.5584 9.0577 9.3407
6.0214 7.2434 6.3160
7.2477 2.4145 7.0574
```

Stability check: which of them is most stable? P.

## P
Material: LiNb4S8
Method: DFT, GGA-PBE
State: relaxed

Results
Calculated volume   19.65 A^3/atom

Geometry as POSCAR:
```
LiNb4S8
1.0
0.0000 5.0365 5.0365
5.0365 0.0000 5.0365
5.0365 5.0365 0.0000
Li Nb S
1 4 8
Cartesian
0.0000 0.0000 0.0000
6.1615 3.9115 3.9115
3.9115 6.1615 3.9115
3.9115 3.9115 6.1615
6.1615 6.1615 6.1615
3.7226 3.7226 3.7226
6.3504 6.3504 3.7226
6.3504 3.7226 6.3504
8.7258 6.3837 6.3837
6.3837 8.7258 6.3837
6.3837 6.3837 8.7258
8.7258 8.7258 8.7258
3.7226 6.3504 6.3504
```

## Q
Material: LiNb4S8
Method: DFT, GGA-PBE
State: relaxed

Results
Calculated volume   19.98 A^3/atom

Geometry as POSCAR:
```
LiNb4S8
1.0
5.8580 -3.3836 0.0000
5.8580 3.3836 0.0000
-5.8216 0.0000 6.5507
Li Nb S
1 4 8
Cartesian
0.0000 0.0000 0.0000
0.0344 0.0000 3.2954
2.9473 1.6643 3.2753
2.9473 -1.6643 3.2753
5.8601 0.0000 3.2553
-3.8833 0.0000 4.8180
-0.9612 1.6919 4.8419
3.9204 0.0000 1.7058
6.8557 1.6919 1.7088
-0.9612 -1.6919 4.8419
1.9741 0.0000 4.8448
6.8557 -1.6919 1.7088
9.7778 0.0000 1.7327
```

Stability check: which of them is most stable? Q.

## P
Material: Li2NbS4
Method: DFT, GGA-PBE
State: relaxed

Results
Calculated volume   21.44 A^3/atom

Geometry as POSCAR:
```
Li2NbS4
1.0
4.8664 0.0000 0.0000
0.0000 4.8664 0.0000
0.0000 0.0000 12.6756
Li Nb S
4 2 8
Cartesian
0.0000 0.0000 1.5785
0.0000 0.0000 11.0972
2.4332 2.4332 4.7593
2.4332 2.4332 7.9163
0.0000 0.0000 6.3378
2.4332 2.4332 0.0000
0.0000 0.0000 3.9493
0.0000 0.0000 8.7263
0.0000 2.4332 0.0000
0.0000 2.4332 6.3378
2.4332 0.0000 0.0000
2.4332 0.0000 6.3378
2.4332 2.4332 2.3885
2.4332 2.4332 10.2871
```

## Q
Material: Li2NbS4
Method: DFT, GGA-PBE
State: relaxed

Results
Calculated volume   18.46 A^3/atom

Geometry as POSCAR:
```
Li2NbS4
1.0
13.2710 0.0000 0.0000
0.0000 3.5327 0.0000
-2.7695 0.0000 5.5112
Li Nb S
4 2 8
Cartesian
2.1585 0.0000 0.9305
1.7075 1.7664 4.5807
8.7940 1.7664 0.9305
8.3430 0.0000 4.5807
-1.3847 1.7664 2.7556
5.2507 0.0000 2.7556
0.3727 1.7664 0.9835
-0.1096 0.0000 3.9611
3.9756 1.7664 1.5501
3.4933 0.0000 4.5277
7.0081 0.0000 0.9835
6.5259 1.7664 3.9611
10.6110 0.0000 1.5501
10.1288 1.7664 4.5277
```

Stability check: which of them is most stable? Q.

## P
Material: Li2Nb2Sb
Method: DFT, GGA-PBE
State: relaxed

Results
Calculated volume   20.29 A^3/atom

Geometry as POSCAR:
```
Li2Nb2Sb
1.0
3.7321 0.0000 0.0000
0.0000 3.7321 0.0000
0.0000 0.0000 14.5639
Li Nb Sb
4 4 2
Cartesian
0.0000 1.8661 3.6410
0.0000 1.8661 10.9229
1.8661 0.0000 3.6410
1.8661 0.0000 10.9229
0.0000 0.0000 1.2190
0.0000 0.0000 13.3449
1.8661 1.8661 6.0629
1.8661 1.8661 8.5010
0.0000 0.0000 7.2819
1.8661 1.8661 0.0000
```

## Q
Material: Li2Nb2Sb
Method: DFT, GGA-PBE
State: relaxed

Results
Calculated volume   19.75 A^3/atom

Geometry as POSCAR:
```
Li2Nb2Sb
1.0
7.0115 0.0000 0.0000
0.0000 7.0115 0.0000
0.0000 0.0000 4.0176
Li Nb Sb
4 4 2
Cartesian
1.2040 2.3018 0.0000
2.3018 5.8075 0.0000
4.7097 1.2040 0.0000
5.8075 4.7097 0.0000
0.8705 4.3763 2.0088
2.6352 0.8705 2.0088
4.3763 6.1410 2.0088
6.1410 2.6352 2.0088
0.0000 0.0000 2.0088
3.5057 3.5057 2.0088
```

Stability check: which of them is most stable? Q.

## P
Material: LiNb3Sb
Method: DFT, GGA-PBE
State: relaxed

Results
Calculated volume   18.01 A^3/atom

Geometry as POSCAR:
```
LiNb3Sb
1.0
4.4821 0.0000 0.0000
0.0000 4.4821 0.0000
0.0000 0.0000 4.4821
Li Nb Sb
1 3 1
Cartesian
0.0000 0.0000 0.0000
0.0000 0.0000 2.2410
0.0000 2.2410 0.0000
2.2410 0.0000 0.0000
2.2410 2.2410 2.2410
```

## Q
Material: LiNb3Sb
Method: DFT, GGA-PBE
State: relaxed

Results
Calculated volume   26.66 A^3/atom

Geometry as POSCAR:
```
LiNb3Sb
1.0
5.1085 0.0000 0.0000
0.0000 5.1085 0.0000
0.0000 0.0000 5.1085
Li Nb Sb
1 3 1
Cartesian
0.0000 0.0000 0.0000
0.0000 2.5543 2.5543
2.5543 0.0000 2.5543
2.5543 2.5543 0.0000
2.5543 2.5543 2.5543
```

Stability check: which of them is most stable? P.

## P
Material: LiNb2Sb2
Method: DFT, GGA-PBE
State: relaxed

Results
Calculated volume   20.74 A^3/atom

Geometry as POSCAR:
```
LiNb2Sb2
1.0
7.6241 0.0000 0.0000
0.0000 7.6241 0.0000
0.0000 0.0000 3.5679
Li Nb Sb
2 4 4
Cartesian
0.0000 0.0000 0.0000
3.8121 3.8121 0.0000
1.0549 2.7572 1.7839
2.7572 6.5693 1.7839
4.8670 1.0549 1.7839
6.5693 4.8670 1.7839
1.1775 4.9895 0.0000
2.6346 1.1775 0.0000
4.9895 6.4467 0.0000
6.4467 2.6346 0.0000
```

## Q
Material: LiNb2Sb2
Method: DFT, GGA-PBE
State: relaxed

Results
Calculated volume   23.21 A^3/atom

Geometry as POSCAR:
```
LiNb2Sb2
1.0
4.1712 0.0000 0.0000
0.0000 4.1712 0.0000
0.0000 0.0000 13.3406
Li Nb Sb
2 4 4
Cartesian
0.0000 0.0000 0.0000
2.0856 2.0856 6.6703
0.0000 2.0856 3.3352
0.0000 2.0856 10.0055
2.0856 0.0000 3.3352
2.0856 0.0000 10.0055
0.0000 0.0000 5.2280
0.0000 0.0000 8.1127
2.0856 2.0856 1.4423
2.0856 2.0856 11.8983
```

Stability check: which of them is most stable? P.